Record 1
This record from the Alexandria database describes a relaxed structure of CaZn4Cd4. The functional is PBE-GGA.

Lattice parameters (Å, degrees): 4.759 8.986 8.986 90.00 90.00 90.00
Fractional positions:
Ca: 0.000 0.000 0.000
Ca: 0.500 0.500 0.500
Zn: 0.500 0.896 0.197
Zn: 0.500 0.104 0.803
Zn: 0.000 0.697 0.604
Zn: 0.000 0.396 0.697
Zn: 0.000 0.604 0.303
Zn: 0.500 0.197 0.104
Zn: 0.500 0.803 0.896
Zn: 0.000 0.303 0.396
Cd: 0.500 0.408 0.860
Cd: 0.000 0.640 0.908
Cd: 0.500 0.592 0.140
Cd: 0.000 0.092 0.640
Cd: 0.500 0.860 0.592
Cd: 0.000 0.908 0.360
Cd: 0.000 0.360 0.092
Cd: 0.500 0.140 0.408

Results
Magnetic moment: 0.00 μB/f.u.

=====

Record 2
This record from the Alexandria database describes a relaxed structure of CaZn2Cd. The functional is PBE-GGA.

Lattice parameters (Å, degrees): 4.505 5.978 7.629 90.00 90.00 112.00
Fractional positions:
Ca: 0.432 0.866 0.750
Ca: 0.568 0.134 0.250
Zn: 0.242 0.484 0.415
Zn: 0.758 0.516 0.585
Zn: 0.242 0.484 0.085
Zn: 0.758 0.516 0.915
Cd: 0.863 0.725 0.250
Cd: 0.137 0.275 0.750

Results
Magnetic moment: 0.00 μB/f.u.

=====

Record 3
This record from the Alexandria database describes a relaxed structure of CaZn2Cd. The functional is PBE-GGA.

Lattice parameters (Å, degrees): 4.295 3.667 5.896 71.83 90.00 90.00
Fractional positions:
Zn: 0.000 0.189 0.997
Zn: 0.500 0.067 0.240
Ca: 0.000 0.461 0.453
Cd: 0.500 0.783 0.809

Results
Magnetic moment: 0.00 μB/f.u.

=====

Record 4
This record from the Alexandria database describes a relaxed structure of CaZnCd. The functional is PBE-GGA.

Lattice parameters (Å, degrees): 5.050 5.050 5.050 60.00 60.00 60.00
Fractional positions:
Zn: 0.500 0.500 0.500
Ca: 0.750 0.750 0.750
Cd: 0.000 0.000 0.000

Results
Magnetic moment: 0.00 μB/f.u.

=====

Record 5
This record from the Alexandria database describes a relaxed structure of CaZn2Cd. The functional is PBE-GGA.

Lattice parameters (Å, degrees): 5.311 5.311 5.311 133.99 123.86 75.43
Fractional positions:
Zn: 0.022 0.022 0.000
Zn: 0.216 0.716 0.500
Ca: 0.491 0.491 0.000
Cd: 0.771 0.271 0.500

Results
Magnetic moment: 0.00 μB/f.u.

=====

Record 6
This record from the Alexandria database describes a relaxed structure of Ca3Zn7Cd2. The functional is PBE-GGA.

Lattice parameters (Å, degrees): 5.600 5.600 9.596 73.03 73.03 60.00
Fractional positions:
Ca: 0.000 0.000 0.000
Ca: 0.857 0.857 0.429
Ca: 0.143 0.143 0.571
Zn: 0.500 0.500 0.500
Zn: 0.921 0.409 0.262
Zn: 0.409 0.921 0.262
Zn: 0.409 0.409 0.262
Zn: 0.079 0.591 0.738
Zn: 0.591 0.591 0.738
Zn: 0.591 0.079 0.738
Cd: 0.665 0.665 0.006
Cd: 0.335 0.335 0.994

Results
Magnetic moment: 0.00 μB/f.u.

=====

Record 7
This record from the Alexandria database describes a relaxed structure of CaZn2Cd. The functional is PBE-GGA.

Lattice parameters (Å, degrees): 4.508 4.508 5.796 67.32 67.32 59.93
Fractional positions:
Zn: 0.969 0.969 0.093
Zn: 0.302 0.302 0.094
Ca: 0.511 0.511 0.466
Cd: 0.717 0.717 0.847

Results
Magnetic moment: 0.00 μB/f.u.

=====

Record 8
This record from the Alexandria database describes a relaxed structure of CaZn3Cd. The functional is PBE-GGA.

Lattice parameters (Å, degrees): 5.028 5.028 5.028 90.00 90.00 90.00
Fractional positions:
Zn: 0.000 0.500 0.000
Zn: 0.000 0.000 0.500
Zn: 0.500 0.000 0.000
Ca: 0.500 0.500 0.500
Cd: 0.000 0.000 0.000

Results
Magnetic moment: 0.00 μB/f.u.
Excess energy over the best structure of this formula in the dataset: 38.9 kJ per mole of atoms

=====

| no. | electronic total energy (eV for the cell shown) | ΔE_f (eV per atom) |
| --- | --- | --- |
| 1 | -22.1 | -0.03 |
| 2 | -11.8 | -0.11 |
| 3 | -6.1 | -0.17 |
| 4 | -3.7 | 0.16 |
| 5 | -6.0 | -0.14 |
| 6 | -19.4 | -0.22 |
| 7 | -6.2 | -0.18 |
| 8 | -5.7 | 0.20 |